Density functional theory data (PBE) for a geometry-optimized YIn2CoPb structure.

It has space group P4/mmm (No. 123), with a = 4.9815 Å, b = 4.9815 Å, c = 5.0616 Å, α = 90.00°, β = 90.00° and γ = 90.00°. The asymmetric unit holds Y at (0.0000, 0.0000, 0.0000), In at (0.0000, 0.5000, 0.5000), Co at (0.0000, 0.0000, 0.5000) and Pb at (0.5000, 0.5000, 0.0000).

For the density of states at the Fermi level, the calculation gives 2.76 states/eV per cell. Its energy relative to the elements is -0.70 eV per formula unit. The magnetic moment comes out at 0.000 μB/atom.